{"formula": "MnAuO3", "functional": "PBE with a Hubbard U", "state": "relaxed", "total_energy_ev_per_cell": -25.5, "cell": [[4.003, 0.000, 0.000], [0.000, 4.003, 0.000], [0.000, 0.000, 4.003]], "species": ["O", "O", "O", "Mn", "Au"], "frac_coords": [[0.000, 0.500, 0.000], [0.000, 0.000, 0.500], [0.500, 0.000, 0.000], [0.500, 0.500, 0.500], [0.000, 0.000, 0.000]]}